Record 1
PaCuSbS: relaxed, GGA-PBE.

Lattice parameters (Å, degrees): 4.357 4.357 8.697 90.00 90.00 90.00
Fractional coordinates of all 8 atoms:
1 Pa 0.250 0.250 0.197
2 Pa 0.750 0.750 0.803
3 Cu 0.250 0.750 0.500
4 Cu 0.750 0.250 0.500
5 Sb 0.250 0.250 0.673
6 Sb 0.750 0.750 0.327
7 S 0.250 0.750 0.000
8 S 0.750 0.250 0.000

Output
- formation energy (no corrections) (eV per atom) = -0.764
- total magnetization (Bohr magnetons per cell) = 1.68
- SG = P4/nmm (129)
- Fermi-level density of states (states/eV/f.u.) = 4.53
- total DFT energy (no corrections) (eV per cell) = -49.798

=====

Record 2
Ba3InRu2O9: relaxed, GGA-PBE.

Lattice parameters (Å, degrees): 5.837 5.837 7.165 90.00 90.00 120.00
Fractional coordinates of all 15 atoms:
1 Ba 0.000 0.000 0.000
2 Ba 0.333 0.667 0.669
3 Ba 0.667 0.333 0.331
4 In 0.000 0.000 0.500
5 Ru 0.333 0.667 0.163
6 Ru 0.667 0.333 0.837
7 O 0.000 0.500 0.000
8 O 0.173 0.347 0.323
9 O 0.173 0.827 0.323
10 O 0.347 0.173 0.677
11 O 0.500 0.000 0.000
12 O 0.500 0.500 0.000
13 O 0.653 0.827 0.323
14 O 0.827 0.173 0.677
15 O 0.827 0.653 0.677

Output
- energy relative to the lowest polymorph listed for this composition (eV/f.u.) = 0.37
- formation energy (no corrections) (eV per atom) = -1.816
- total magnetization (Bohr magnetons per cell) = 5.07
- SG = P-3m1 (164)
- Fermi-level density of states (states/eV/f.u.) = 6.16
- total DFT energy (no corrections) (eV per cell) = -98.927

=====

Record 3
In5Sn2Pb4: relaxed, GGA-PBE.

Lattice parameters (Å, degrees): 8.624 3.402 10.914 90.00 91.97 90.00
Fractional coordinates of all 11 atoms:
1 In 0.000 0.000 0.000
2 In 0.076 0.000 0.285
3 In 0.290 0.000 0.822
4 In 0.710 0.000 0.178
5 In 0.924 0.000 0.715
6 Sn 0.436 0.000 0.363
7 Sn 0.564 0.000 0.637
8 Pb 0.192 0.500 0.553
9 Pb 0.342 0.500 0.095
10 Pb 0.658 0.500 0.905
11 Pb 0.808 0.500 0.447

Output
- total magnetization (Bohr magnetons per cell) = 0.00
- SG = P2/m (10)
- DFT formation energy (eV/atom) = 0.04
- Fermi-level density of states (states/eV/f.u.) = 5.35
- total DFT energy (no corrections) (eV per cell) = -36.093

=====

Record 4
YZr2Br: relaxed, GGA-PBE.

Lattice parameters (Å, degrees): 5.770 5.770 3.357 90.00 90.00 117.74
Fractional coordinates of all 4 atoms:
1 Y 0.000 0.000 0.000
2 Zr 0.000 0.500 0.500
3 Zr 0.500 0.000 0.500
4 Br 0.500 0.500 0.000

Output
- energy relative to the lowest polymorph listed for this composition (eV/f.u.) = 1.66
- formation energy (no corrections) (eV per atom) = 0.097
- total magnetization (Bohr magnetons per cell) = 0.00
- SG = Cmmm (65)
- Fermi-level density of states (states/eV/f.u.) = 5.17
- total DFT energy (no corrections) (eV per cell) = -24.847